Below is a relaxed Sr2ZnInRh crystal, with properties calculated at the GGA-PBE level.

For the total energy, the calculation gives -15.46 eV per formula unit. The space group is No. 123. The value obtained for the calculated volume is 32.17 Å³/atom.

a = 5.747 Å, b = 5.747 Å, c = 4.870 Å
α = 90.00°, β = 90.00°, γ = 90.00°
Atoms (fractional coordinates):
In 0.500 0.500 0.500
Sr 0.500 0.000 0.000
Zn 0.000 0.000 0.500
Sr 0.000 0.500 0.000
Rh 0.000 0.000 0.000